First-principles (PBE+U) data for crystalline CoNi2PdO4 at its relaxed geometry, as listed in Alexandria.

Computed properties:
- Symmetry: C2/c
- Uncorrected energy: -0.377 Ry per atom
- Total moment: 9.99 μB/cell
- ρ: 6811 kg/m³

Cell: 5.7531 5.7531 6.4258 Å, 115.43 115.43 89.90°
Closest atoms and distances in Å follow each position.
Positions (direct):
Co (0.0000, 0.5000, 0.0000)  6 O 2.10-2.21
Co (0.5000, 0.0000, 0.5000)  6 O 2.10-2.21
Ni (0.0000, 0.0000, 0.0000)  6 O 2.06-2.12
Ni (0.0000, 0.0000, 0.5000)  6 O 2.06-2.12
Ni (0.0000, 0.5000, 0.5000)  4 O 1.97-1.98
Ni (0.5000, 0.0000, 0.0000)  4 O 1.97-1.98
Pd (0.5000, 0.5000, 0.0000)  4 O 2.06-2.08
Pd (0.5000, 0.5000, 0.5000)  4 O 2.06-2.08
O (0.1907, 0.2209, 0.4013)  3 Ni 1.98-2.12, 1 Pd 2.08
O (0.1955, 0.6899, 0.4114)  2 Ni 1.97-2.11, 1 Pd 2.06, 1 Co 2.10
O (0.2209, 0.1907, 0.9013)  3 Ni 1.98-2.12, 1 Pd 2.08
O (0.3101, 0.8045, 0.0886)  2 Ni 1.97-2.11, 1 Pd 2.06, 1 Co 2.10
O (0.6899, 0.1955, 0.9114)  2 Ni 1.97-2.11, 1 Pd 2.06, 1 Co 2.10
O (0.7791, 0.8093, 0.0987)  3 Ni 1.98-2.12, 1 Pd 2.08
O (0.8045, 0.3101, 0.5886)  2 Ni 1.97-2.11, 1 Pd 2.06, 1 Co 2.10
O (0.8093, 0.7791, 0.5987)  3 Ni 1.98-2.12, 1 Pd 2.08